A plane-wave DFT calculation with PBE was carried out for an optimized crystal structure of ZrTcPb3.

Cell lengths 5.6251, 5.6251, 5.6251 Å; angles 90.00, 90.00, 90.00 degrees
With the nearest neighbours (Å) after each atom.
Sites, in units of the cell vectors:
Pb 0.0000 0.5000 0.0000  2 Zr 2.81
Pb 0.0000 0.0000 0.5000  2 Zr 2.81
Pb 0.5000 0.0000 0.0000  2 Zr 2.81
Tc 0.5000 0.5000 0.5000  12 Pb 3.98
Zr 0.0000 0.0000 0.0000  6 Pb 2.81

Summary:
Crystal system: cubic
Magnetic moment (μB/atom): 0.9892
E_tot (eV/atom): -4.7629
ρ (g/cm³): 7.6
DFT formation energy (eV/atom): 1.24